1.
Here is a relaxed KLaY2 crystal from Alexandria via LeMat-Bulk. Energies are from PBE.

Structure (POSCAR):
```
KLaY2
1.0
-2.650 2.650 5.397
2.650 -2.650 5.397
2.650 2.650 -5.397
K La Y
1 1 2
Direct
0.000 0.000 0.000
0.250 0.750 0.500
0.500 0.500 0.000
0.750 0.250 0.500
```

Output
Formation energy from the elements, meV/atom: 496.2
ΔE to the lowest computed polymorph, eV per atom: 0.3090

2.
Here is a relaxed Tb6Ce2Dy3Ho crystal from Alexandria via LeMat-Bulk. Energies are from PBE.

Structure (POSCAR):
```
Tb6Ce2Dy3Ho
1.0
3.070 -5.316 0.000
3.070 5.316 0.000
-2.049 0.000 11.577
Tb Ce Dy Ho
6 2 3 1
Direct
0.081 0.416 0.751
0.248 0.248 0.249
0.416 0.081 0.751
0.584 0.919 0.249
0.752 0.752 0.751
0.919 0.584 0.249
0.167 0.833 0.000
0.833 0.167 0.000
0.000 0.000 0.500
0.334 0.666 0.500
0.666 0.334 0.500
0.500 0.500 0.000
```

Output
Formation energy from the elements, meV/atom: 46.7

3.
Here is a relaxed PmPrBiSe crystal from Alexandria via LeMat-Bulk. Energies are from PBE.

Structure (POSCAR):
```
PmPrBiSe
1.0
2.178 1.258 7.535
-2.178 1.258 7.535
0.000 -2.515 7.535
Pm Pr Bi Se
1 1 1 1
Direct
0.000 0.000 0.000
0.183 0.183 0.183
0.424 0.424 0.424
0.596 0.596 0.596
```

Output
E_form (uncorrected), eV per atom: -1.32

4.
Here is a relaxed CeHfS2 crystal from Alexandria via LeMat-Bulk. Energies are from PBE.

Structure (POSCAR):
```
CeHfS2
1.0
1.865 1.077 6.687
-1.865 1.077 6.687
0.000 -2.154 6.687
Ce Hf S
1 1 2
Direct
0.000 0.000 0.000
0.179 0.179 0.179
0.580 0.580 0.580
0.768 0.768 0.768
```

Output
E_form (uncorrected), eV per atom: -1.58
ΔE to the lowest computed polymorph, eV per atom: 0.0000